# 1
The following is a PBE-GGA calculation of a relaxed structure of CaYPa2N4, from Alexandria via LeMat-Bulk.

CIF file:
```
data_CaYPa2N4
_symmetry_space_group_name_H-M 'I -4 m 2'
_symmetry_Int_Tables_number 119
_symmetry_space_group_name_Hall 'I -4 -2'
_cell_length_a 4.931
_cell_length_b 4.931
_cell_length_c 9.930
_cell_angle_alpha 90.00
_cell_angle_beta 90.00
_cell_angle_gamma 90.00
loop_
_atom_site_label
_atom_site_type_symbol
_atom_site_fract_x
_atom_site_fract_y
_atom_site_fract_z
Ca1 Ca 0.000 0.000 0.000
Y1 Y 0.000 0.500 0.750
Pa1 Pa 0.000 0.000 0.500
Pa2 Pa 0.000 0.500 0.250
N1 N 0.000 0.000 0.263
N2 N 0.000 0.500 0.011
```

Summary:
raw formation energy = -1525 meV per atom
E = -9.12 eV/atom

---

# 2
The following is a PBE-GGA calculation of a relaxed structure of Ho3ZnGa12, from Alexandria via LeMat-Bulk.

CIF file:
```
data_Ho3ZnGa12
_symmetry_space_group_name_H-M 'P 4/m m m'
_symmetry_Int_Tables_number 123
_symmetry_space_group_name_Hall '-P 4 2'
_cell_length_a 4.242
_cell_length_b 4.242
_cell_length_c 16.854
_cell_angle_alpha 90.00
_cell_angle_beta 90.00
_cell_angle_gamma 90.00
loop_
_atom_site_label
_atom_site_type_symbol
_atom_site_fract_x
_atom_site_fract_y
_atom_site_fract_z
Ho1 Ho 0.000 0.000 0.000
Ho2 Ho 0.000 0.000 0.256
Zn1 Zn 0.000 0.000 0.500
Ga1 Ga 0.000 0.500 0.128
Ga2 Ga 0.000 0.500 0.387
Ga3 Ga 0.500 0.500 0.000
Ga4 Ga 0.500 0.500 0.245
Ga5 Ga 0.500 0.500 0.500
```

Summary:
E = -3.58 eV/atom
formation energy from the elements = -0.3735 eV/atom

---

# 3
The following is a PBE-GGA calculation of a relaxed structure of ErCrI6, from Alexandria via LeMat-Bulk.

CIF file:
```
data_ErCrI6
_symmetry_space_group_name_H-M 'R -3'
_symmetry_Int_Tables_number 148
_symmetry_space_group_name_Hall '-R 3'
_cell_length_a 7.2884
_cell_length_b 7.2884
_cell_length_c 19.5862
_cell_angle_alpha 90.00
_cell_angle_beta 90.00
_cell_angle_gamma 120.00
loop_
_atom_site_label
_atom_site_type_symbol
_atom_site_fract_x
_atom_site_fract_y
_atom_site_fract_z
Er1 Er 0.0000 0.0000 0.0000
Cr1 Cr 0.0000 0.0000 0.5000
I1 I 0.0008 0.6876 0.5803
```

Summary:
raw formation energy = -767 meV per atom
E = -3.70 eV/atom

---

# 4
The following is a PBE-GGA calculation of a relaxed structure of CuPBr2, from Alexandria via LeMat-Bulk.

CIF file:
```
data_CuPBr2
_symmetry_space_group_name_H-M 'C 1 m 1'
_symmetry_Int_Tables_number 8
_cell_length_a 6.890
_cell_length_b 3.554
_cell_length_c 8.332
_cell_angle_alpha 90.00
_cell_angle_beta 95.18
_cell_angle_gamma 90.00
loop_
_symmetry_equiv_pos_as_xyz
'x,y,z'
'x,-y,z'
'x+1/2,y+1/2,z'
'x+1/2,-y+1/2,z'
loop_
_atom_site_label
_atom_site_type_symbol
_atom_site_fract_x
_atom_site_fract_y
_atom_site_fract_z
Cu1 Cu 0.000 0.000 0.000
P1 P 0.314 0.000 0.889
Br1 Br 0.077 0.500 0.205
Br2 Br 0.294 0.000 0.623
```

Summary:
raw formation energy = -145 meV per atom
E = -3.36 eV/atom

---

# 5
The following is a PBE-GGA calculation of a relaxed structure of ZnBr, from Alexandria via LeMat-Bulk.

CIF file:
```
data_ZnBr
_symmetry_space_group_name_H-M 'P 21 21 21'
_symmetry_Int_Tables_number 19
_cell_length_a 6.701
_cell_length_b 7.317
_cell_length_c 10.798
_cell_angle_alpha 90.00
_cell_angle_beta 90.00
_cell_angle_gamma 90.00
loop_
_symmetry_equiv_pos_as_xyz
'x,y,z'
'-x+1/2,-y,z+1/2'
'x+1/2,-y+1/2,-z'
'-x,y+1/2,-z+1/2'
loop_
_atom_site_label
_atom_site_type_symbol
_atom_site_fract_x
_atom_site_fract_y
_atom_site_fract_z
Zn1 Zn 0.122 0.012 0.021
Zn2 Zn 0.242 0.828 0.185
Br1 Br 0.054 0.466 0.683
Br2 Br 0.093 0.801 0.404
```

Summary:
raw formation energy = -532 meV per atom
E = -2.01 eV/atom

---

# 6
The following is a PBE-GGA calculation of a relaxed structure of YScOsAu, from Alexandria via LeMat-Bulk.

CIF file:
```
data_YScOsAu
_symmetry_space_group_name_H-M 'F -4 3 m'
_symmetry_Int_Tables_number 216
_symmetry_space_group_name_Hall 'F -4 2 3'
_cell_length_a 6.816
_cell_length_b 6.816
_cell_length_c 6.816
_cell_angle_alpha 90.00
_cell_angle_beta 90.00
_cell_angle_gamma 90.00
loop_
_atom_site_label
_atom_site_type_symbol
_atom_site_fract_x
_atom_site_fract_y
_atom_site_fract_z
Y1 Y 0.000 0.000 0.000
Sc1 Sc 0.000 0.000 0.500
Os1 Os 0.250 0.250 0.250
Au1 Au 0.250 0.250 0.750
```

Summary:
E = -7.31 eV/atom
formation energy from the elements = -0.4823 eV/atom